KInAsO4: relaxed, GGA-PBE.

Structure (POSCAR):
```
KInAsO4
1.0
6.2972 0.0000 0.0000
3.1486 5.4536 0.0000
3.1486 1.8179 5.1417
K In As O
1 1 1 4
Direct
0.7500 0.7500 0.7500 K
0.5000 0.5000 0.5000 In
0.2500 0.2500 0.2500 As
0.3634 0.3634 0.9097 O
0.3634 0.3634 0.3634 O
0.3634 0.9097 0.3634 O
0.9097 0.3634 0.3634 O
```

Results
Symmetry: F-43m
Total magnetic moment: 0.00 μB per cell
Total energy: -5.300 eV per atom
Formation energy from raw total energies: -1.25 eV/atom


Tb6Sc2Tl: relaxed, GGA-PBE.

Structure (POSCAR):
```
Tb6Sc2Tl
1.0
0.2070 -3.2315 3.5839
-3.5285 -7.3841 -6.4543
9.7962 -2.3407 -2.6778
Tb Sc Tl
12 4 2
Direct
0.0000 0.9979 0.1685 Tb
0.9999 0.6685 0.4979 Tb
0.9999 0.6599 0.8401 Tb
0.5001 0.1599 0.6599 Tb
0.5001 0.1685 0.0021 Tb
0.5000 0.4979 0.3315 Tb
0.0000 0.0021 0.8315 Tb
0.0001 0.3315 0.5021 Tb
0.0001 0.3401 0.1599 Tb
0.4999 0.8401 0.3401 Tb
0.4999 0.8315 0.9979 Tb
0.5000 0.5021 0.6685 Tb
0.0002 0.3352 0.8352 Sc
0.4998 0.8352 0.6648 Sc
0.5002 0.1648 0.3352 Sc
0.9998 0.6648 0.1648 Sc
0.5000 0.5000 0.0000 Tl
0.0000 0.0000 0.5000 Tl
```

Results
Formation energy from the elements: -0.03 eV per atom
Symmetry: P4_2/mnm
Total magnetic moment: 0.00 μB per cell
Total energy: -4.784 eV per atom


UTeW: relaxed, GGA-PBE.

Structure (POSCAR):
```
UTeW
1.0
3.4015 0.0000 0.2421
0.0000 4.6868 0.0000
-0.3982 -2.3434 9.7954
U Te W
2 2 2
Direct
0.8090 0.0578 0.1155 U
0.1910 0.9422 0.8845 U
0.2413 0.3278 0.6556 Te
0.7587 0.6722 0.3444 Te
0.2837 0.5597 0.1195 W
0.7163 0.4403 0.8805 W
```

Results
Symmetry: C2/m
Total magnetic moment: 0.12 μB per cell
Total energy: -9.004 eV per atom
Formation energy from raw total energies: 0.12 eV/atom


What is the total magnetic moment in the second record? 0.00 μB per cell


Look up the total magnetic moment of the second one. 0.00 μB per cell